Entry 1:
This record from the Alexandria database describes crystalline ScCdCuF6 at its relaxed geometry. The functional is PBE-GGA.

- calculated density (kg/m3) = 4327
- E_form (uncorrected) (eV per atom) = -2.648
- raw total energy (eV per formula unit) = -46.40

```
ScCdCuF6
1.0
5.4758 0.0000 0.0000
-2.7379 4.7421 0.0000
0.0000 0.0000 9.8988
Cd F Sc Cu
2 12 2 2
Cartesian
0.0000 0.0000 0.0000 Cd
0.0000 0.0000 4.9494 Cd
1.0473 1.5441 3.6294 F
0.8136 1.6790 8.5788 F
-0.8136 1.6790 6.2695 F
0.8770 4.6072 8.5788 F
1.6906 3.1981 6.2695 F
-0.8770 4.6072 6.2695 F
4.4285 1.5441 1.3200 F
-1.6906 3.1981 8.5788 F
1.8608 0.1349 1.3200 F
3.5515 3.0631 3.6294 F
3.6149 0.1349 3.6294 F
1.9243 3.0631 1.3200 F
0.0000 3.1614 7.4241 Sc
2.7379 1.5807 2.4747 Sc
2.7379 1.5807 7.4241 Cu
0.0000 3.1614 2.4747 Cu
```

=====

Entry 2:
This record from the Alexandria database describes crystalline TbInRuRh at its relaxed geometry. The functional is PBE-GGA.

- calculated density (kg/m3) = 10807
- formation energy (eV per atom) = -0.4436
- raw total energy (eV per formula unit) = -25.77

```
TbInRuRh
1.0
-1.2248 3.8195 -2.4492
-0.6168 -0.2882 -4.6502
-4.3186 0.3375 -1.8231
Rh Tb Ru In
1 1 1 1
Cartesian
-3.0801 1.9344 -4.4612 Rh
-1.5400 0.9672 -2.2306 Tb
0.0000 0.0000 0.0000 Ru
-4.6201 2.9016 -6.6919 In
```

=====

Entry 3:
This record from the Alexandria database describes crystalline MnFePb2 at its relaxed geometry. The functional is PBE-GGA.

- calculated density (kg/m3) = 10497
- formation energy (eV per atom) = 0.4976
- raw total energy (eV per formula unit) = -23.06

```
MnFePb2
1.0
5.9187 -0.0027 0.0265
5.0290 3.1211 0.0265
1.5587 0.4440 4.5016
Pb Mn Fe
2 1 1
Cartesian
9.5141 2.7101 3.2070 Pb
10.8734 3.0972 0.2295 Pb
2.7014 0.7695 1.1509 Mn
6.6185 1.8852 2.2975 Fe
```

=====

Entry 4:
This record from the Alexandria database describes crystalline AcNpPbO6 at its relaxed geometry. The functional is PBE-GGA.

- calculated density (kg/m3) = 8005
- E_form (uncorrected) (eV per atom) = -2.476
- raw total energy (eV per formula unit) = -72.79

```
AcNpPbO6
1.0
-1.8415 5.7044 1.8002
-0.9875 -1.8960 -5.8824
-8.3363 -3.4874 2.5236
Ac O Pb Np
2 12 2 2
Cartesian
-7.8090 0.5554 1.1320 Ac
-3.3563 -0.2344 -2.6906 Ac
-4.3087 2.4116 1.7885 O
-9.2542 -1.3334 -2.2834 O
-2.9581 2.1561 -2.0407 O
-8.2072 -1.8351 0.4821 O
-5.7918 -2.6471 -0.5989 O
-7.0792 -0.0061 -1.2020 O
-5.3735 2.9681 -0.9597 O
-3.2080 4.2772 0.0651 O
-1.9111 1.6544 0.7248 O
-4.0861 0.3271 -0.3567 O
-7.9573 -3.9562 -1.6238 O
-6.8566 -2.0906 -3.3471 O
0.0000 0.0000 0.0000 Pb
-4.1681 -1.7437 1.2618 Pb
-7.5244 -1.9781 -1.4288 Np
-3.6409 2.2991 -0.1298 Np
```

=====

Entry 5:
This record from the Alexandria database describes crystalline HoEr3Pu2S6 at its relaxed geometry. The functional is PBE-GGA.

- calculated density (kg/m3) = 8903
- E_form (uncorrected) (eV per atom) = -1.925
- raw total energy (eV per formula unit) = -94.79

```
HoEr3Pu2S6
1.0
-4.1931 -4.9776 1.7337
3.1710 -0.1786 -5.9395
5.2068 -1.4446 4.0935
Er S Ho Pu
3 6 1 2
Cartesian
4.5415 -1.7044 -2.6080 Er
-0.3568 -4.8965 2.4958 Er
2.0924 -3.3004 -0.0561 Er
-0.1460 -2.4543 1.2606 S
0.5655 -4.2628 -2.1234 S
1.8937 -5.7347 1.1665 S
4.3307 -4.1466 -1.3728 S
3.6192 -2.3380 2.0111 S
2.2910 -0.8661 -1.2787 S
0.0000 0.0000 0.0000 Ho
-1.7375 -3.3774 -0.8250 Pu
0.7154 -1.7789 -3.3808 Pu
```

=====

Entry 6:
This record from the Alexandria database describes crystalline Li5TlAu8 at its relaxed geometry. The functional is PBE-GGA.

- calculated density (kg/m3) = 11948
- formation energy (eV per atom) = -0.3115
- raw total energy (eV per formula unit) = -42.51

```
Li5TlAu8
1.0
-2.7903 5.7154 2.6604
-4.5324 -5.1744 0.4613
5.7111 -1.6574 3.4878
Au Li Tl
8 5 1
Cartesian
0.9658 3.8527 4.7154 Au
-3.2438 -3.1936 1.0389 Au
-2.6466 -0.5565 2.5342 Au
-0.8108 -4.2057 2.2516 Au
-1.0846 -2.8953 5.0362 Au
0.1396 0.0034 2.4285 Au
1.5553 0.1628 5.1703 Au
-1.3209 2.3667 3.2631 Au
-0.9380 -1.7879 0.7213 Li
-1.1908 -0.0471 4.7995 Li
1.4604 2.0290 3.0741 Li
-5.3076 -0.0933 3.4873 Li
4.2132 -0.3046 4.2108 Li
1.3196 -2.4014 3.5116 Tl
```